1.
Si2Pd3: optimized geometry, PBE.

Results
VASP energy in eV per atom: -5.760

Cell and atoms, written as CIF:
```
data_Si2Pd3
_cell_length_a 4.1054
_cell_length_b 4.1054
_cell_length_c 5.2172
_cell_angle_alpha 90.00
_cell_angle_beta 90.00
_cell_angle_gamma 120.00
_space_group_name_H-M_alt 'P -3 m 1'
_space_group_IT_number 164
_space_group_name_Hall '-P 3 2"'
loop_
_atom_site_label
_atom_site_fract_x
_atom_site_fract_y
_atom_site_fract_z
Si1 0.3333 0.6667 0.3018
Pd1 0.0000 0.0000 0.5000
Pd2 0.3333 0.6667 0.8265
```

***

2.
RbPrCoS3: optimized geometry, PBE.

Results
VASP energy in eV per atom: -5.440

Cell and atoms, written as CIF:
```
data_RbPrCoS3
_cell_length_a 10.986
_cell_length_b 4.071
_cell_length_c 14.593
_cell_angle_alpha 90.00
_cell_angle_beta 90.00
_cell_angle_gamma 90.00
_space_group_name_H-M_alt 'P n m a'
_space_group_IT_number 62
_space_group_name_Hall '-P 2ac 2n'
loop_
_atom_site_label
_atom_site_fract_x
_atom_site_fract_y
_atom_site_fract_z
Rb1 0.218 0.250 0.010
Pr1 0.015 0.750 0.262
Co1 0.233 0.750 0.785
S1 0.057 0.750 0.864
S2 0.104 0.250 0.379
S3 0.239 0.250 0.697
```

***

3.
Hf4CdHgN2: optimized geometry, PBE.

Results
VASP energy in eV per atom: -8.179

Cell and atoms, written as CIF:
```
data_Hf4CdHgN2
_cell_length_a 3.2729
_cell_length_b 3.2729
_cell_length_c 14.5240
_cell_angle_alpha 90.00
_cell_angle_beta 90.00
_cell_angle_gamma 120.00
_space_group_name_H-M_alt 'P -6 m 2'
_space_group_IT_number 187
_space_group_name_Hall 'P -6 2'
loop_
_atom_site_label
_atom_site_fract_x
_atom_site_fract_y
_atom_site_fract_z
Hf1 0.0000 0.0000 0.1650
Hf2 0.3333 0.6667 0.3304
Cd1 0.0000 0.0000 0.5000
Hg1 0.3333 0.6667 0.0000
N1 0.6667 0.3333 0.2473
```

***

4.
Tb2ThCo2: optimized geometry, PBE.

Results
ΔH_f (0 K) in kJ per mole of atoms: -24
VASP energy in eV per atom: -6.430

Cell and atoms, written as CIF:
```
data_Tb2ThCo2
_cell_length_a 10.584
_cell_length_b 6.074
_cell_length_c 7.130
_cell_angle_alpha 90.00
_cell_angle_beta 100.82
_cell_angle_gamma 90.00
_space_group_name_H-M_alt 'C 1 2/c 1'
_space_group_IT_number 15
_space_group_name_Hall '-C 2yc'
loop_
_atom_site_label
_atom_site_fract_x
_atom_site_fract_y
_atom_site_fract_z
Tb1 0.156 0.105 0.152
Th1 0.000 0.415 0.750
Co1 0.156 0.344 0.509
```

***

5.
NaLuSn: optimized geometry, PBE.

Results
VASP energy in eV per atom: -3.516

Cell and atoms, written as CIF:
```
data_NaLuSn
_cell_length_a 7.170
_cell_length_b 7.170
_cell_length_c 7.170
_cell_angle_alpha 90.00
_cell_angle_beta 90.00
_cell_angle_gamma 90.00
_space_group_name_H-M_alt 'F -4 3 m'
_space_group_IT_number 216
_space_group_name_Hall 'F -4 2 3'
loop_
_atom_site_label
_atom_site_fract_x
_atom_site_fract_y
_atom_site_fract_z
Na1 0.000 0.000 0.000
Lu1 0.000 0.000 0.500
Sn1 0.250 0.250 0.750
```

***

6.
ZrGaPd2: optimized geometry, PBE.

Results
VASP energy in eV per atom: -6.067

Cell and atoms, written as CIF:
```
data_ZrGaPd2
_cell_length_a 6.466
_cell_length_b 6.466
_cell_length_c 6.466
_cell_angle_alpha 90.00
_cell_angle_beta 90.00
_cell_angle_gamma 90.00
_space_group_name_H-M_alt 'F -4 3 m'
_space_group_IT_number 216
_space_group_name_Hall 'F -4 2 3'
loop_
_atom_site_label
_atom_site_fract_x
_atom_site_fract_y
_atom_site_fract_z
Zr1 0.000 0.000 0.000
Ga1 0.250 0.250 0.750
Pd1 0.000 0.000 0.500
Pd2 0.250 0.250 0.250
```

***

7.
RbW3Se5: optimized geometry, PBE.

Results
VASP energy in eV per atom: -6.531

Cell and atoms, written as CIF:
```
data_RbW3Se5
_cell_length_a 5.7973
_cell_length_b 5.7973
_cell_length_c 7.6804
_cell_angle_alpha 90.00
_cell_angle_beta 90.00
_cell_angle_gamma 120.00
_space_group_name_H-M_alt 'P 6/m m m'
_space_group_IT_number 191
_space_group_name_Hall '-P 6 2'
loop_
_atom_site_label
_atom_site_fract_x
_atom_site_fract_y
_atom_site_fract_z
Rb1 0.0000 0.0000 0.0000
W1 0.0000 0.5000 0.5000
Se1 0.0000 0.0000 0.5000
Se2 0.3333 0.6667 0.2432
```

***

8.
CsCoAgSe3: optimized geometry, PBE.

Results
VASP energy in eV per atom: -3.936
E above lowest polymorph in meV/atom: 0

Cell and atoms, written as CIF:
```
data_CsCoAgSe3
_cell_length_a 8.828
_cell_length_b 3.732
_cell_length_c 10.324
_cell_angle_alpha 90.00
_cell_angle_beta 114.99
_cell_angle_gamma 90.00
_space_group_name_H-M_alt 'P 1 21/m 1'
_space_group_IT_number 11
_space_group_name_Hall '-P 2yb'
loop_
_atom_site_label
_atom_site_fract_x
_atom_site_fract_y
_atom_site_fract_z
Cs1 0.029 0.250 0.274
Co1 0.475 0.250 0.140
Ag1 0.440 0.750 0.390
Se1 0.281 0.750 0.117
Se2 0.330 0.750 0.604
Se3 0.366 0.250 0.885
```

***

9.
FeCuAgAs: optimized geometry, PBE.

Results
VASP energy in eV per atom: -4.612
E above lowest polymorph in meV/atom: 0

Cell and atoms, written as CIF:
```
data_FeCuAgAs
_cell_length_a 6.164
_cell_length_b 6.164
_cell_length_c 6.164
_cell_angle_alpha 90.00
_cell_angle_beta 90.00
_cell_angle_gamma 90.00
_space_group_name_H-M_alt 'F -4 3 m'
_space_group_IT_number 216
_space_group_name_Hall 'F -4 2 3'
loop_
_atom_site_label
_atom_site_fract_x
_atom_site_fract_y
_atom_site_fract_z
Fe1 0.000 0.000 0.000
Cu1 0.000 0.000 0.500
Ag1 0.250 0.250 0.750
As1 0.250 0.250 0.250
```

***

10.
Cu2Ag3: optimized geometry, PBE.

Results
ΔH_f (0 K) in kJ per mole of atoms: 8
VASP energy in eV per atom: -3.096
E above lowest polymorph in meV/atom: 53

Cell and atoms, written as CIF:
```
data_Cu2Ag3
_cell_length_a 8.898
_cell_length_b 3.956
_cell_length_c 8.817
_cell_angle_alpha 90.00
_cell_angle_beta 90.83
_cell_angle_gamma 90.00
_space_group_name_H-M_alt 'C 1 m 1'
_space_group_IT_number 8
_space_group_name_Hall 'C -2y'
loop_
_atom_site_label
_atom_site_fract_x
_atom_site_fract_y
_atom_site_fract_z
Cu1 0.000 0.000 0.000
Cu2 0.012 0.500 0.524
Cu3 0.090 0.000 0.707
Cu4 0.303 0.500 0.614
Ag1 0.101 0.500 0.212
Ag2 0.193 0.500 0.899
Ag3 0.208 0.000 0.433
Ag4 0.303 0.000 0.105
Ag5 0.396 0.000 0.797
Ag6 0.407 0.500 0.325
```

***

11.
BeCuBMo: optimized geometry, PBE.

Results
VASP energy in eV per atom: -5.396
E above lowest polymorph in meV/atom: 530

Cell and atoms, written as CIF:
```
data_BeCuBMo
_cell_length_a 5.586
_cell_length_b 5.586
_cell_length_c 5.586
_cell_angle_alpha 90.00
_cell_angle_beta 90.00
_cell_angle_gamma 90.00
_space_group_name_H-M_alt 'F -4 3 m'
_space_group_IT_number 216
_space_group_name_Hall 'F -4 2 3'
loop_
_atom_site_label
_atom_site_fract_x
_atom_site_fract_y
_atom_site_fract_z
Be1 0.000 0.000 0.000
Cu1 0.000 0.000 0.500
B1 0.250 0.250 0.250
Mo1 0.250 0.250 0.750
```

***

12.
LaW: optimized geometry, PBE.

Results
ΔH_f (0 K) in kJ per mole of atoms: 178
VASP energy in eV per atom: -7.098
E above lowest polymorph in meV/atom: 1023

Cell and atoms, written as CIF:
```
data_LaW
_cell_length_a 5.970
_cell_length_b 5.970
_cell_length_c 5.970
_cell_angle_alpha 90.00
_cell_angle_beta 90.00
_cell_angle_gamma 90.00
_space_group_name_H-M_alt 'F m -3 m'
_space_group_IT_number 225
_space_group_name_Hall '-F 4 2 3'
loop_
_atom_site_label
_atom_site_fract_x
_atom_site_fract_y
_atom_site_fract_z
La1 0.000 0.000 0.000
W1 0.000 0.000 0.500
```

***

What is the formula in the tenth record?
Cu2Ag3

***

Which formula does entry 3 have?
Hf4CdHgN2